Entry 1:
Density functional theory data (PBE) for an optimized crystal structure of GdHoTcAg.

The structure in CIF format:
```
data_GdHoTcAg
_space_group_name_H-M_alt 'F -4 3 m'
_space_group_IT_number 216
_space_group_name_Hall 'F -4 2 3'
_cell_length_a 7.044
_cell_length_b 7.044
_cell_length_c 7.044
_cell_angle_alpha 90.00
_cell_angle_beta 90.00
_cell_angle_gamma 90.00
loop_
_atom_site_label
_atom_site_type_symbol
_atom_site_fract_x
_atom_site_fract_y
_atom_site_fract_z
_atom_site_occupancy
Gd1 Gd 0.000 0.000 0.000 1
Ho1 Ho 0.000 0.000 0.500 1
Tc1 Tc 0.250 0.250 0.750 1
Ag1 Ag 0.250 0.250 0.250 1
```

* theoretical density: 10.0 g/cm³
* energy relative to the elements: -10.3 kJ per mole of atoms
* DOS at the Fermi energy: 12.0 states/eV per cell

---

Entry 2:
Density functional theory data (PBE) for an optimized crystal structure of ZrAlNi.

The structure in CIF format:
```
data_ZrAlNi
_space_group_name_H-M_alt 'P -6 2 m'
_space_group_IT_number 189
_space_group_name_Hall 'P -6 -2'
_cell_length_a 7.7579
_cell_length_b 7.7579
_cell_length_c 2.8276
_cell_angle_alpha 90.00
_cell_angle_beta 90.00
_cell_angle_gamma 120.00
loop_
_atom_site_label
_atom_site_type_symbol
_atom_site_fract_x
_atom_site_fract_y
_atom_site_fract_z
_atom_site_occupancy
Zr1 Zr 0.0000 0.7006 0.0000 1
Al1 Al 0.0000 0.0000 0.5000 1
Al2 Al 0.3333 0.6667 0.0000 1
Ni1 Ni 0.0000 0.3641 0.5000 1
```

* theoretical density: 6.0 g/cm³
* energy relative to the elements: -15.0 kJ per mole of atoms
* DOS at the Fermi energy: 7.3 states/eV per cell

---

Entry 3:
Density functional theory data (PBE) for an optimized crystal structure of La2CeGe.

The structure in CIF format:
```
data_La2CeGe
_space_group_name_H-M_alt 'R -3 m'
_space_group_IT_number 166
_space_group_name_Hall '-R 3 2"'
_cell_length_a 3.5306
_cell_length_b 3.5306
_cell_length_c 33.3628
_cell_angle_alpha 90.00
_cell_angle_beta 90.00
_cell_angle_gamma 120.00
loop_
_atom_site_label
_atom_site_type_symbol
_atom_site_fract_x
_atom_site_fract_y
_atom_site_fract_z
_atom_site_occupancy
La1 La 0.0000 0.0000 0.0967 1
Ce1 Ce 0.0000 0.0000 0.0000 1
Ge1 Ge 0.0000 0.0000 0.5000 1
```

* excess energy over the best structure of this formula in the dataset: 382 meV per atom
* theoretical density: 6.8 g/cm³
* energy relative to the elements: -0.6 kJ per mole of atoms
* DOS at the Fermi energy: 22.8 states/eV per cell